A plane-wave DFT calculation with PBE-GGA was carried out for DyTh2As3 after structural relaxation.

POSCAR file:
```
DyTh2As3
1.0
-4.4111 3.3062 -4.7868
-6.9085 -1.8768 1.3656
-2.7682 6.5745 1.5242
Dy Th As
2 4 6
direct
0.3328 0.0000 0.3344 Dy
0.6672 0.0000 0.6656 Dy
0.0000 0.0000 0.0000 Th
0.5000 0.5000 0.0000 Th
0.8343 0.5000 0.3314 Th
0.1657 0.5000 0.6686 Th
0.5804 0.2448 0.3378 As
0.7429 0.7566 0.0000 As
0.4196 0.7552 0.6622 As
0.0819 0.7552 0.3378 As
0.9181 0.2448 0.6622 As
0.2571 0.2434 0.0000 As
```

Energy of formation (eV per atom): -1.440
Crystal system: monoclinic
Symmetry: No. 12
Electronic total energy (eV per formula unit): -42.03